Entry i
# RbTeAs2Br PBE-GGA optimized geometry
# Total moment   0.090 μB/atom
# Symmetry   P4/mmm
data_RbTeAs2Br
_cell_length_a 5.356
_cell_length_b 5.356
_cell_length_c 6.489
_cell_angle_alpha 90.00
_cell_angle_beta 90.00
_cell_angle_gamma 90.00
_space_group_name_H-M_alt 'P 1'
_space_group_IT_number 1
loop_
_space_group_symop_operation_xyz
'x,y,z'
loop_
_atom_site_label
_atom_site_type_symbol
_atom_site_fract_x
_atom_site_fract_y
_atom_site_fract_z
Br1 Br 0.000 0.000 0.500
As1 As 0.500 0.000 0.000
Rb1 Rb 0.500 0.500 0.500
As2 As 0.000 0.500 0.000
Te1 Te 0.000 0.000 0.000

Entry ii
# RbTeAs2Br PBE-GGA optimized geometry
# Total moment   0.791 μB/atom
# Symmetry   P4/mmm
data_RbTeAs2Br
_cell_length_a 6.977
_cell_length_b 6.977
_cell_length_c 6.166
_cell_angle_alpha 90.00
_cell_angle_beta 90.00
_cell_angle_gamma 90.00
_space_group_name_H-M_alt 'P 1'
_space_group_IT_number 1
loop_
_space_group_symop_operation_xyz
'x,y,z'
loop_
_atom_site_label
_atom_site_type_symbol
_atom_site_fract_x
_atom_site_fract_y
_atom_site_fract_z
As1 As 0.500 0.000 0.000
As2 As 0.000 0.500 0.000
Rb1 Rb 0.000 0.000 0.000
Br1 Br 0.000 0.000 0.500
Te1 Te 0.500 0.500 0.500

Stability comparison, relative energies in meV/atom: entry i 0; entry ii 988